# 1
The following is a DFT calculation (PBE-GGA) of TeP2W after structural relaxation.

Values from the calculation:
- Space group: No. 10
- E_form (uncorrected): 378 meV/atom
- DFT total energy: -6.35 eV/atom

a b c (Å): 3.631 4.586 4.672
angles (deg): 90.00 100.15 90.00
Fractional coordinates of all 4 atoms:
Te1 0.000 0.000 0.000
P1 0.282 0.500 0.645
P2 0.718 0.500 0.355
W1 0.500 0.000 0.500

# 2
The following is a DFT calculation (PBE-GGA) of CoPtRh2 after structural relaxation.

Values from the calculation:
- Calculated formation energy: 0.01 eV per atom
- Space group: No. 65
- DFT total energy: -6.95 eV/atom

a b c (Å): 4.686 4.686 2.714
angles (deg): 90.00 90.00 109.89
Fractional coordinates of all 4 atoms:
Co1 0.000 0.000 0.000
Pt1 0.500 0.500 0.000
Rh1 0.000 0.500 0.500
Rh2 0.500 0.000 0.500

# 3
The following is a DFT calculation (PBE-GGA) of Dy4Cd5Co2 after structural relaxation.

Values from the calculation:
- Calculated formation energy: -0.27 eV per atom
- Space group: No. 10
- DFT total energy: -3.65 eV/atom

a b c (Å): 7.633 3.582 9.334
angles (deg): 90.00 94.50 90.00
Fractional coordinates of all 11 atoms:
Dy1 0.169 0.000 0.337
Dy2 0.210 0.000 0.943
Dy3 0.790 0.000 0.057
Dy4 0.831 0.000 0.663
Cd1 0.178 0.500 0.648
Cd2 0.451 0.500 0.170
Cd3 0.500 0.500 0.500
Cd4 0.549 0.500 0.830
Cd5 0.822 0.500 0.352
Co1 0.069 0.500 0.133
Co2 0.931 0.500 0.867

# 4
The following is a DFT calculation (PBE-GGA) of Sb2HCF after structural relaxation.

Values from the calculation:
- Offset from the most stable computed form: 0.000 eV per atom
- Space group: No. 123
- DFT total energy: -3.90 eV/atom

a b c (Å): 4.899 4.899 2.950
angles (deg): 90.00 90.00 90.00
Fractional coordinates of all 5 atoms:
Sb1 0.000 0.500 0.000
Sb2 0.500 0.000 0.000
H1 0.000 0.000 0.000
C1 0.000 0.000 0.500
F1 0.500 0.500 0.500

# 5
The following is a DFT calculation (PBE-GGA) of RbLaP2S8 after structural relaxation.

Values from the calculation:
- Space group: No. 147
- E_form (uncorrected): -622 meV/atom
- DFT total energy: -4.77 eV/atom

a b c (Å): 6.251 6.251 9.855
angles (deg): 90.00 90.00 120.00
Fractional coordinates of all 12 atoms:
Rb1 0.000 0.000 0.000
La1 0.000 0.000 0.500
P1 0.333 0.667 0.736
P2 0.667 0.333 0.264
S1 0.000 0.376 0.678
S2 0.000 0.624 0.322
S3 0.333 0.667 0.943
S4 0.376 0.000 0.678
S5 0.376 0.376 0.322
S6 0.624 0.000 0.322
S7 0.624 0.624 0.678
S8 0.667 0.333 0.057

# 6
The following is a DFT calculation (PBE-GGA) of BaEuHg after structural relaxation.

Values from the calculation:
- Calculated formation energy: -0.36 eV per atom
- Offset from the most stable computed form: 0.000 eV per atom
- Space group: No. 107
- DFT total energy: -4.53 eV/atom

a b c (Å): 7.713 7.713 7.713
angles (deg): 149.31 149.31 43.96
Fractional coordinates of all 3 atoms:
Ba1 0.000 0.000 0.000
Eu1 0.270 0.270 0.000
Hg1 0.652 0.652 0.000

# 7
The following is a DFT calculation (PBE-GGA) of BaTlSCl2 after structural relaxation.

Values from the calculation:
- Offset from the most stable computed form: 0.000 eV per atom
- Space group: No. 123
- E_form (uncorrected): -1220 meV/atom
- DFT total energy: -3.64 eV/atom

a b c (Å): 5.586 5.586 5.203
angles (deg): 90.00 90.00 90.00
Fractional coordinates of all 5 atoms:
Ba1 0.000 0.000 0.000
Tl1 0.500 0.500 0.500
S1 0.500 0.500 0.000
Cl1 0.000 0.500 0.500
Cl2 0.500 0.000 0.500

# 8
The following is a DFT calculation (PBE-GGA) of PmPr4DySe8 after structural relaxation.

Values from the calculation:
- Space group: No. 160
- E_form (uncorrected): -1725 meV/atom
- DFT total energy: -5.75 eV/atom

a b c (Å): 8.686 8.686 8.686
angles (deg): 60.12 60.12 60.12
Fractional coordinates of all 14 atoms:
Pm1 0.000 0.000 0.000
Pr1 0.000 0.000 0.493
Pr2 0.000 0.493 0.000
Pr3 0.493 0.000 0.000
Pr4 0.623 0.623 0.623
Dy1 0.374 0.374 0.374
Se1 0.222 0.759 0.759
Se2 0.242 0.242 0.759
Se3 0.242 0.759 0.242
Se4 0.245 0.245 0.245
Se5 0.756 0.756 0.756
Se6 0.759 0.222 0.759
Se7 0.759 0.242 0.242
Se8 0.759 0.759 0.222

# 9
The following is a DFT calculation (PBE-GGA) of YCr2Si after structural relaxation.

Values from the calculation:
- Space group: No. 216
- E_form (uncorrected): 131 meV/atom
- DFT total energy: -7.65 eV/atom

a b c (Å): 4.656 4.656 4.656
angles (deg): 60.00 60.00 60.00
Fractional coordinates of all 4 atoms:
Y1 0.000 0.000 0.000
Cr1 0.250 0.250 0.250
Cr2 0.500 0.500 0.500
Si1 0.750 0.750 0.750

# 10
The following is a DFT calculation (PBE-GGA) of CaEr2Ru after structural relaxation.

Values from the calculation:
- Calculated formation energy: -0.26 eV per atom
- Offset from the most stable computed form: 0.000 eV per atom
- Space group: No. 123
- DFT total energy: -5.36 eV/atom

a b c (Å): 3.425 3.425 9.373
angles (deg): 90.00 90.00 90.00
Fractional coordinates of all 4 atoms:
Ca1 0.000 0.000 0.000
Er1 0.500 0.500 0.327
Er2 0.500 0.500 0.673
Ru1 0.000 0.000 0.500

# 11
The following is a DFT calculation (PBE-GGA) of Sm2GePd after structural relaxation.

Values from the calculation:
- Calculated formation energy: -0.65 eV per atom
- Space group: No. 166
- DFT total energy: -5.46 eV/atom

a b c (Å): 6.912 6.912 6.912
angles (deg): 36.82 36.82 36.82
Fractional coordinates of all 4 atoms:
Sm1 0.250 0.250 0.250
Sm2 0.750 0.750 0.750
Ge1 0.000 0.000 0.000
Pd1 0.500 0.500 0.500

# 12
The following is a DFT calculation (PBE-GGA) of Gd2CoI after structural relaxation.

Values from the calculation:
- Space group: No. 166
- E_form (uncorrected): -605 meV/atom
- DFT total energy: -9.81 eV/atom

a b c (Å): 8.270 8.270 8.270
angles (deg): 27.84 27.84 27.84
Fractional coordinates of all 4 atoms:
Gd1 0.227 0.227 0.227
Gd2 0.773 0.773 0.773
Co1 0.500 0.500 0.500
I1 0.000 0.000 0.000